# VCoH3 (PBE, relaxed)
# DFT total energy: -26.269 eV/cell
# Magnetic moment: 1.38 μB per cell
# Crystal system: cubic
# ρ: 5.827 g cm⁻³
data_VCoH3
_chemical_formula_sum 'V1 Co1 H3'
_cell_length_a 3.181
_cell_length_b 3.181
_cell_length_c 3.181
_cell_angle_alpha 90.00
_cell_angle_beta 90.00
_cell_angle_gamma 90.00
_space_group_name_H-M_alt 'P 1'
_space_group_IT_number 1
loop_
_space_group_symop_operation_xyz
'x,y,z'
loop_
_atom_site_label
_atom_site_fract_x
_atom_site_fract_y
_atom_site_fract_z
H1 0.000 0.500 0.000
H2 0.000 0.000 0.500
H3 0.500 0.000 0.000
Co1 0.000 0.000 0.000
V1 0.500 0.500 0.500